Density functional theory data (PBE) for crystalline CaSmErTl at its relaxed geometry.

**Size of the total moment**: 0.0 μB per formula unit
**DFT formation energy**: -0.0481 eV/atom
**E**: -3.46 eV per atom

abc: 7.8285 7.8285 7.8285
angles: 90.00 90.00 90.00
Closest atoms and distances in Å follow each position.
Space group F-43m (No. 216)
Inequivalent atoms, fractional coordinates:
Ca 0.0000 0.0000 0.0000 x4  4 Sm 3.39, 4 Er 3.39
Sm 0.2500 0.2500 0.2500 x4  4 Tl 3.39, 4 Ca 3.39
Er 0.2500 0.2500 0.7500 x4  4 Ca 3.39, 4 Tl 3.39
Tl 0.0000 0.0000 0.5000 x4  4 Er 3.39, 4 Sm 3.39

Density functional theory data (PBE) for crystalline AlTl at its relaxed geometry.

**Size of the total moment**: 0.0 μB per formula unit
**DFT formation energy**: 0.3097 eV/atom
**E**: -2.74 eV per atom

abc: 7.3464 7.3464 7.3464
angles: 90.00 90.00 90.00
Closest atoms and distances in Å follow each position.
Space group Fd-3m (No. 227, origin choice 2)
Inequivalent atoms, fractional coordinates:
Al 0.1250 0.1250 0.1250 x8  4 Tl 3.18, 4 Al 3.18
Tl 0.1250 0.1250 0.6250 x8  4 Tl 3.18, 4 Al 3.18

Density functional theory data (PBE) for crystalline YCoAg2 at its relaxed geometry.

**Size of the total moment**: 1.0 μB per formula unit
**DFT formation energy**: 0.3081 eV/atom
**E**: -4.51 eV per atom

abc: 3.2407 3.2407 26.0279
angles: 90.00 90.00 120.00
Closest atoms and distances in Å follow each position.
Space group R3m (No. 160, hexagonal axes)
Inequivalent atoms, fractional coordinates:
Y 0.0000 0.0000 0.0000 x3  3 Co 2.70
Co 0.0000 0.0000 0.2585 x3  3 Y 2.70, 3 Ag 2.71
Ag 0.0000 0.0000 0.5166 x3  3 Co 2.71, 3 Ag 2.91
Ag 0.0000 0.0000 0.7643 x3  9 Ag 2.91-3.24, 3 Y 3.16

Density functional theory data (PBE) for crystalline PdPb2Cl2O2 at its relaxed geometry.

**Size of the total moment**: 0.0 μB per formula unit
**ΔE_f (raw)**: -6.14 eV/f.u.
**E**: -4.62 eV per atom

abc: 11.7737 3.9530 7.4589
angles: 90.00 120.57 90.00
Closest atoms and distances in Å follow each position.
Space group C2/m (No. 12)
Inequivalent atoms, fractional coordinates:
Pd 0.0000 0.0000 0.0000 x2  2 O 2.02
Pb 0.1893 0.0000 0.7551 x4  3 O 2.35-2.39
Cl 0.0557 0.5000 0.2804 x4  2 Pd 2.70
O 0.1904 0.0000 0.0714 x4  1 Pd 2.02

Density functional theory data (PBE) for crystalline MgTlW at its relaxed geometry.

**Size of the total moment**: 0.0 μB per formula unit
**DFT formation energy**: 0.6259 eV/atom
**E**: -5.01 eV per atom
**Excess energy over the best structure of this formula in the dataset**: 0.00 eV/f.u.

abc: 3.5872 4.6286 14.4157
angles: 90.00 90.00 90.00
Closest atoms and distances in Å follow each position.
Space group Fmm2 (No. 42)
Inequivalent atoms, fractional coordinates:
Mg 0.0000 0.0000 0.0000 x4  2 W 2.80, 4 Mg 2.93
Tl 0.0000 0.0000 0.6825 x4  4 Tl 2.93, 2 W 3.01, 2 Mg 3.18
W 0.0000 0.0000 0.3506 x4  2 Mg 2.80, 4 W 2.93, 2 Tl 3.01

Density functional theory data (PBE) for crystalline FeAsAu at its relaxed geometry.

**Size of the total moment**: 2.5 μB per formula unit
**DFT formation energy**: 0.1742 eV/atom
**E**: -5.29 eV per atom
**Excess energy over the best structure of this formula in the dataset**: 0.04 eV/f.u.

abc: 2.8383 2.8383 12.5776
angles: 90.00 90.00 90.00
Closest atoms and distances in Å follow each position.
Space group I4mm (No. 107)
Inequivalent atoms, fractional coordinates:
Fe 0.0000 0.0000 0.0000 x2  4 As 2.58, 4 Au 2.76, 4 Fe 2.84
As 0.0000 0.0000 0.6283 x2  4 Fe 2.58, 4 As 2.84
Au 0.0000 0.0000 0.3498 x2  4 Fe 2.76, 4 Au 2.84

Density functional theory data (PBE) for crystalline Sr3MoSe at its relaxed geometry.

**Size of the total moment**: 4.7 μB per formula unit
**ΔE_f (raw)**: 0.54 eV/f.u.
**E**: -3.76 eV per atom
**Excess energy over the best structure of this formula in the dataset**: 0.00 eV/f.u.

abc: 5.9132 5.9132 5.9132
angles: 90.00 90.00 90.00
Closest atoms and distances in Å follow each position.
Space group Pm-3m (No. 221)
Inequivalent atoms, fractional coordinates:
Sr 0.0000 0.0000 0.5000 x3  2 Se 2.96
Mo 0.5000 0.5000 0.5000 x1  12 Sr 4.18
Se 0.0000 0.0000 0.0000 x1  6 Sr 2.96

Density functional theory data (PBE) for crystalline LiSmCd14 at its relaxed geometry.

**Size of the total moment**: 0.0 μB per formula unit
**DFT formation energy**: -0.0999 eV/atom
**E**: -1.32 eV per atom

abc: 6.5472 6.5472 8.5584
angles: 90.00 90.00 90.00
Closest atoms and distances in Å follow each position.
Space group P4/mmm (No. 123)
Inequivalent atoms, fractional coordinates:
Li 0.0000 0.0000 0.0000 x1  12 Cd 3.12-3.27
Sm 0.5000 0.5000 0.0000 x1  12 Cd 3.22-3.27
Cd 0.0000 0.0000 0.5000 x1  12 Cd 3.08-3.27
Cd 0.0000 0.5000 0.0000 x2  8 Cd 3.17, 2 Sm 3.27, 2 Li 3.27
Cd 0.0000 0.5000 0.5000 x2  12 Cd 3.13-3.27
Cd 0.2424 0.2424 0.2532 x8  10 Cd 3.08-3.37, 1 Li 3.12, 1 Sm 3.22
Cd 0.5000 0.5000 0.5000 x1  12 Cd 3.19-3.27

Density functional theory data (PBE) for crystalline K2ErTlI6 at its relaxed geometry.

**Size of the total moment**: 0.0 μB per formula unit
**ΔE_f (raw)**: -12.76 eV/f.u.
**E**: -3.12 eV per atom

abc: 8.6439 8.6439 22.3794
angles: 90.00 90.00 120.00
Closest atoms and distances in Å follow each position.
Space group R3 (No. 146, hexagonal axes)
Inequivalent atoms, fractional coordinates:
K 0.0000 0.0000 0.0000 x3  6 I 3.52-3.63
K 0.0000 0.0000 0.4886 x3  6 I 3.57-3.65
Er 0.0000 0.0000 0.6925 x3  6 I 3.02-3.04
Tl 0.0000 0.0000 0.2007 x3  6 I 3.44-3.62
I 0.0240 0.3999 0.4341 x9  1 Er 3.02
I 0.0664 0.6919 0.2771 x9  1 Er 3.04

Density functional theory data (PBE) for crystalline KCuTeAu at its relaxed geometry.

**Size of the total moment**: 0.0 μB per formula unit
**ΔE_f (raw)**: -1.37 eV/f.u.
**E**: -3.25 eV per atom

abc: 4.0271 4.0271 13.1930
angles: 90.00 90.00 90.00
Closest atoms and distances in Å follow each position.
Space group P4/nmm (No. 129, origin choice 2)
Inequivalent atoms, fractional coordinates:
K 0.2500 0.2500 0.2139 x2  4 Au 3.47, 4 Te 3.53
Cu 0.2500 0.7500 0.5000 x2  4 Te 2.63, 4 Cu 2.85
Te 0.2500 0.2500 0.6280 x2  4 Cu 2.63
Au 0.2500 0.7500 0.0000 x2  4 Au 2.85